# 1
# PBE-GGA Ca3Ac2Tl4, relaxed
data_Ca3Ac2Tl4
_space_group_name_H-M_alt 'C m c e'
_space_group_IT_number 64
_space_group_name_Hall '-C 2ac 2'
_cell_length_a 7.3195
_cell_length_b 19.1971
_cell_length_c 8.6904
_cell_angle_alpha 90.00
_cell_angle_beta 90.00
_cell_angle_gamma 90.00
loop_
_atom_site_label
_atom_site_type_symbol
_atom_site_fract_x
_atom_site_fract_y
_atom_site_fract_z
Ca1 Ca 0.0000 0.0000 0.0000
Ca2 Ca 0.2500 0.2337 0.2500
Ac1 Ac 0.0000 0.0965 0.5893
Tl1 Tl 0.0000 0.1664 0.9698
Tl2 Tl 0.2500 0.0643 0.2500
# * formation energy: -308 meV per atom
# * offset from the most stable computed form: 0.037 eV/atom
# * crystal system: orthorhombic
# * magnetic moment: 0.000 μB per cell

# 2
# PBE-GGA Ca2AcTl, relaxed
data_Ca2AcTl
_space_group_name_H-M_alt 'P 4/m m m'
_space_group_IT_number 123
_space_group_name_Hall '-P 4 2'
_cell_length_a 3.7950
_cell_length_b 3.7950
_cell_length_c 10.1086
_cell_angle_alpha 90.00
_cell_angle_beta 90.00
_cell_angle_gamma 90.00
loop_
_atom_site_label
_atom_site_type_symbol
_atom_site_fract_x
_atom_site_fract_y
_atom_site_fract_z
Ca1 Ca 0.0000 0.0000 0.2006
Ac1 Ac 0.5000 0.5000 0.5000
Tl1 Tl 0.5000 0.5000 0.0000
# * formation energy: -196 meV per atom
# * offset from the most stable computed form: 0.009 eV/atom
# * crystal system: tetragonal
# * magnetic moment: 0.000 μB per cell

# 3
# PBE-GGA Ca2AcTl2, relaxed
data_Ca2AcTl2
_space_group_name_H-M_alt 'P 1 21/m 1'
_space_group_IT_number 11
_space_group_name_Hall '-P 2yb'
_cell_length_a 5.8165
_cell_length_b 4.6677
_cell_length_c 13.1108
_cell_angle_alpha 90.00
_cell_angle_beta 96.26
_cell_angle_gamma 90.00
loop_
_atom_site_label
_atom_site_type_symbol
_atom_site_fract_x
_atom_site_fract_y
_atom_site_fract_z
Ca1 Ca 0.1719 0.2500 0.1128
Ca2 Ca 0.2551 0.7500 0.5171
Ac1 Ac 0.3091 0.2500 0.7649
Tl1 Tl 0.2121 0.2500 0.3500
Tl2 Tl 0.3355 0.7500 0.9716
# * formation energy: -264 meV per atom
# * offset from the most stable computed form: 0.044 eV/atom
# * crystal system: monoclinic
# * magnetic moment: 0.000 μB per cell

# 4
# PBE-GGA CaAc8Tl6, relaxed
data_CaAc8Tl6
_space_group_name_H-M_alt 'R -3'
_space_group_IT_number 148
_space_group_name_Hall '-R 3'
_cell_length_a 9.9066
_cell_length_b 9.9066
_cell_length_c 20.9358
_cell_angle_alpha 90.00
_cell_angle_beta 90.00
_cell_angle_gamma 120.00
loop_
_atom_site_label
_atom_site_type_symbol
_atom_site_fract_x
_atom_site_fract_y
_atom_site_fract_z
Ca1 Ca 0.0000 0.0000 0.0000
Ac1 Ac 0.0000 0.0000 0.3360
Ac2 Ac 0.9995 0.3331 0.2233
Tl1 Tl 0.0008 0.6756 0.9424
# * formation energy: -190 meV per atom
# * crystal system: trigonal
# * magnetic moment: 0.000 μB per cell